Density functional theory data (PBE-GGA) for a geometry-optimized BaYHfHg2 structure.

Structure (POSCAR):
```
BaYHfHg2
1.0
5.635 0.000 0.000
0.000 5.635 0.000
0.000 0.000 5.414
Ba Y Hf Hg
1 1 1 2
direct
0.000 0.000 0.000
0.500 0.500 0.000
0.500 0.500 0.500
0.000 0.500 0.500
0.500 0.000 0.500
```

Calculated values
As for the formation energy: 0.25 eV per atom. The total energy comes out at -17.7 eV/f.u. The symmetry is P4/mmm (123). The calculation puts the density of states at the Fermi level at 4.8 states/eV/f.u.